(1)
AlCu2Ni after structural relaxation, computed with GGA-PBEsol.

Results
The formation energy from the elements is -255 meV/atom.

```
AlCu2Ni
1.0
-1.498 0.513 -2.173
2.044 -2.936 -2.103
-3.051 -1.616 3.386
Ni Al Cu
1 1 2
Direct
0.000 0.134 0.000 Ni
0.500 0.639 0.000 Al
0.748 0.504 0.496 Cu
0.252 0.008 0.504 Cu
```

---

(2)
Ni3TeIr after structural relaxation, computed with GGA-PBEsol.

Results
Its uncorrected formation energy is 1.441 eV/atom.

```
Ni3TeIr
1.0
4.444 0.000 0.000
0.000 4.444 0.000
0.000 0.000 4.444
Ni Ir Te
3 1 1
Direct
0.000 0.500 0.000 Ni
0.000 0.000 0.500 Ni
0.500 0.000 0.000 Ni
0.500 0.500 0.500 Ir
0.000 0.000 0.000 Te
```

---

(3)
Y3C5 after structural relaxation, computed with GGA-PBEsol.

Results
The formation energy from the elements is -248 meV/atom.

```
Y3C5
1.0
-3.397 0.687 0.196
-0.267 -0.335 -3.445
-1.843 -9.409 1.057
Y C
3 5
Direct
0.000 0.000 0.500 Y
0.500 0.500 0.196 Y
0.500 0.500 0.804 Y
0.000 0.000 0.000 C
0.000 0.000 0.140 C
0.000 0.000 0.860 C
0.500 0.500 0.429 C
0.500 0.500 0.571 C
```

---

(4)
Tm3Ge13Ru4 after structural relaxation, computed with GGA-PBEsol.

Results
The formation energy from the elements is -477 meV/atom.

```
Tm3Ge13Ru4
1.0
8.878 0.000 0.000
0.000 8.878 0.000
0.000 0.000 8.878
Tm Ge Ru
6 26 8
Direct
0.000 0.500 0.750 Tm
0.500 0.250 0.000 Tm
0.750 0.000 0.500 Tm
0.000 0.500 0.250 Tm
0.500 0.750 0.000 Tm
0.250 0.000 0.500 Tm
0.500 0.500 0.500 Ge
0.000 0.000 0.000 Ge
0.803 0.353 0.500 Ge
0.647 0.500 0.803 Ge
0.500 0.197 0.647 Ge
0.197 0.647 0.500 Ge
0.353 0.500 0.197 Ge
0.500 0.803 0.353 Ge
0.803 0.647 0.500 Ge
0.647 0.500 0.197 Ge
0.197 0.353 0.500 Ge
0.353 0.500 0.803 Ge
0.500 0.803 0.647 Ge
0.500 0.197 0.353 Ge
0.303 0.000 0.853 Ge
0.147 0.303 0.000 Ge
0.000 0.147 0.697 Ge
0.697 0.000 0.147 Ge
0.853 0.697 0.000 Ge
0.000 0.853 0.303 Ge
0.303 0.000 0.147 Ge
0.147 0.697 0.000 Ge
0.697 0.000 0.853 Ge
0.853 0.303 0.000 Ge
0.000 0.147 0.303 Ge
0.000 0.853 0.697 Ge
0.750 0.250 0.750 Ru
0.250 0.750 0.250 Ru
0.750 0.750 0.250 Ru
0.250 0.250 0.750 Ru
0.250 0.750 0.750 Ru
0.750 0.250 0.250 Ru
0.250 0.250 0.250 Ru
0.750 0.750 0.750 Ru
```

---

(5)
LiRe2Sb after structural relaxation, computed with GGA-PBEsol.

Results
Its uncorrected formation energy is 0.788 eV/atom.

```
LiRe2Sb
1.0
-0.847 2.250 -1.709
-2.604 -0.097 -1.383
-4.931 4.501 5.824
Li Re Sb
1 2 1
Direct
0.000 0.000 0.000 Li
0.247 0.247 0.260 Re
0.753 0.753 0.740 Re
0.500 0.500 0.500 Sb
```

---

(6)
CuNiTe2N after structural relaxation, computed with GGA-PBEsol.

Results
Its uncorrected formation energy is 0.915 eV/atom.

```
CuNiTe2N
1.0
3.400 0.000 0.000
0.000 5.167 0.000
0.000 0.000 5.167
Ni Te Cu N
1 2 1 1
Direct
0.500 0.500 0.500 Ni
0.000 0.000 0.500 Te
0.000 0.500 0.000 Te
0.000 0.000 0.000 Cu
0.500 0.000 0.000 N
```

---

(7)
ScSb2 after structural relaxation, computed with GGA-PBEsol.

Results
Its uncorrected formation energy is -0.241 eV/atom.

```
ScSb2
1.0
-2.079 -0.695 -2.373
3.831 -1.680 -2.863
-2.450 -3.193 3.082
Sc Sb
1 2
Direct
0.000 0.000 0.000 Sc
0.707 0.333 0.667 Sb
0.293 0.667 0.333 Sb
```

---

(8)
Pm2ZnAg after structural relaxation, computed with GGA-PBEsol.

Results
The formation energy from the elements is -270 meV/atom.

```
Pm2ZnAg
1.0
5.131 0.000 0.000
2.566 4.444 0.000
2.566 1.481 4.190
Zn Ag Pm
1 1 2
Direct
0.000 0.000 0.000 Zn
0.500 0.500 0.500 Ag
0.250 0.250 0.250 Pm
0.750 0.750 0.750 Pm
```

---

(9)
SmBr3 after structural relaxation, computed with GGA-PBEsol.

Results
Its uncorrected formation energy is -1.888 eV/atom.

```
SmBr3
1.0
-0.519 -0.344 -3.943
0.252 -6.402 2.545
-8.915 0.112 1.164
Sm Br
2 6
Direct
0.741 0.483 0.250 Sm
0.259 0.517 0.750 Sm
0.350 0.700 0.066 Br
0.650 0.300 0.934 Br
0.913 0.825 0.750 Br
0.087 0.175 0.250 Br
0.350 0.700 0.434 Br
0.650 0.300 0.566 Br
```

---

(10)
In2HgI2 after structural relaxation, computed with GGA-PBEsol.

Results
Its uncorrected formation energy is -0.245 eV/atom.

```
In2HgI2
1.0
6.380 0.000 0.000
-3.190 5.386 0.103
0.000 3.679 5.213
I Hg In
2 1 2
Direct
0.750 0.500 0.750 I
0.250 0.500 0.250 I
0.000 0.000 0.000 Hg
0.674 0.347 0.326 In
0.326 0.653 0.674 In
```

---

(11)
Mn2Bi3Sb3O14 after structural relaxation, computed with GGA-PBEsol.

Results
Its uncorrected formation energy is -0.564 eV/atom.

```
Mn2Bi3Sb3O14
1.0
-6.075 -3.078 0.378
0.932 -6.353 -2.300
0.232 -4.011 5.512
Mn Bi Sb O
2 3 3 14
Direct
0.000 0.000 0.000 Mn
0.500 0.500 0.500 Mn
0.500 0.000 0.500 Bi
0.500 0.500 0.000 Bi
0.000 0.500 0.500 Bi
0.000 0.500 0.000 Sb
0.000 0.000 0.500 Sb
0.500 0.000 0.000 Sb
0.749 0.749 0.749 O
0.251 0.251 0.251 O
0.679 0.387 0.679 O
0.679 0.679 0.387 O
0.387 0.679 0.679 O
0.321 0.613 0.321 O
0.321 0.321 0.613 O
0.613 0.321 0.321 O
0.182 0.892 0.182 O
0.182 0.182 0.892 O
0.892 0.182 0.182 O
0.818 0.108 0.818 O
0.818 0.818 0.108 O
0.108 0.818 0.818 O
```

---

(12)
TlCo2Ru after structural relaxation, computed with GGA-PBEsol.

Results
The formation energy from the elements is 642 meV/atom.

```
TlCo2Ru
1.0
-0.504 2.679 -0.580
-1.727 1.474 1.616
5.718 3.648 5.184
Ru Tl Co
1 1 2
Direct
0.500 0.500 0.500 Ru
0.000 0.000 0.000 Tl
0.243 0.243 0.270 Co
0.757 0.757 0.730 Co
```

---

Number 1: DFT total energy -4.98 eV per atom. Number 2: DFT total energy -4.92 eV per atom. Number 3: DFT total energy -8.83 eV per atom. Number 4: DFT total energy -6.46 eV per atom. Number 5: DFT total energy -7.51 eV per atom. Number 6: DFT total energy -4.30 eV per atom. Number 7: DFT total energy -5.48 eV per atom. Number 8: DFT total energy -4.06 eV per atom. Number 9: DFT total energy -4.56 eV per atom. Number 10: DFT total energy -2.26 eV per atom. Number 11: DFT total energy -6.00 eV per atom. Number 12: DFT total energy -6.43 eV per atom.